This record from Alexandria describes a relaxed CrSiMoH2 crystal. The functional is PBE.

The value obtained for the total energy is -5.66 eV per atom. The value obtained for the total magnetization is 1.38 μB/f.u.

Lattice parameters (Å, degrees): 3.4545 5.1934 3.4545 90.00 90.00 90.00
Each line ends with the local moment (μB).
Sites, in units of the cell vectors:
Si 0.0000 0.0000 0.0000  -0.02
Mo 0.0000 0.5000 0.0000  -1.00
Cr 0.5000 0.5000 0.5000  2.35
H 0.0000 0.0000 0.5000  0.00
H 0.5000 0.0000 0.0000  -0.01